Entry from the Alexandria database: a relaxed structure of HgS3I (PBE).

Properties
M_tot: 0.000 μB/f.u.
excess energy over the best structure of this formula in the dataset: 0.000 eV per atom
D(E_F): 0.0000 states/eV per atom
crystal system: triclinic
ρ: 3.760 Mg/m³
formation energy without anion corrections: -0.03 eV per atom
symmetry: No. 1

Cell and atoms, written as POSCAR:
```
HgS3I
1.0
5.1040 0.0000 0.0000
-0.1739 7.3641 0.0000
-0.0596 -0.3282 9.9570
Hg S I
2 6 2
direct
0.0000 0.0000 0.0000 Hg
0.4787 0.1278 0.4430 Hg
0.1408 0.9803 0.5683 S
0.1660 0.7037 0.5250 S
0.2580 0.5798 0.6964 S
0.6986 0.1810 0.8818 S
0.8253 0.4428 0.9451 S
0.8662 0.5956 0.7840 S
0.3251 0.8063 0.1424 I
0.8166 0.3274 0.3063 I
```


Entry from the Alexandria database: a relaxed structure of HgSI (PBE).

Properties
M_tot: 0.000 μB/f.u.
excess energy over the best structure of this formula in the dataset: 0.046 eV per atom
crystal system: triclinic
ρ: 6.066 Mg/m³
formation energy without anion corrections: -0.09 eV per atom
symmetry: No. 1

Cell and atoms, written as POSCAR:
```
HgSI
1.0
4.4986 0.0000 0.0000
-0.0741 5.8723 0.0000
-1.2593 -1.8854 7.4521
Hg S I
2 2 2
direct
0.0000 0.0000 0.0000 Hg
0.2045 0.3151 0.6267 Hg
0.1411 0.6499 0.1098 S
0.9218 0.3850 0.9066 S
0.4199 0.8292 0.6954 I
0.5986 0.2245 0.3562 I
```


Entry from the Alexandria database: a relaxed structure of Hg4S2I5 (PBE).

Properties
M_tot: 0.000 μB/f.u.
D(E_F): 0.2143 states/eV per atom
crystal system: triclinic
ρ: 5.454 Mg/m³
formation energy without anion corrections: -0.15 eV per atom
symmetry: No. 2

Cell and atoms, written as POSCAR:
```
Hg4S2I5
1.0
4.4130 0.0000 0.0000
1.4936 9.3474 0.0000
2.0631 1.9626 11.0798
Hg S I
4 2 5
direct
0.0258 0.4635 0.2359 Hg
0.4669 0.2145 0.5624 Hg
0.5331 0.7855 0.4376 Hg
0.9742 0.5365 0.7641 Hg
0.0140 0.5982 0.5227 S
0.9860 0.4018 0.4773 S
0.0000 0.0000 0.5000 I
0.1833 0.2394 0.8174 I
0.3957 0.6931 0.8436 I
0.6043 0.3069 0.1564 I
0.8167 0.7606 0.1826 I
```


Entry from the Alexandria database: a relaxed structure of HgS2I (PBE).

Properties
M_tot: 0.000 μB/f.u.
excess energy over the best structure of this formula in the dataset: 0.439 eV per atom
D(E_F): 0.9885 states/eV per atom
crystal system: tetragonal
ρ: 5.812 Mg/m³
formation energy without anion corrections: 0.47 eV per atom
symmetry: No. 122

Cell and atoms, written as POSCAR:
```
HgS2I
1.0
-3.5697 3.5697 4.3904
3.5697 -3.5697 4.3904
3.5697 3.5697 -4.3904
Hg S I
2 4 2
direct
0.0000 0.0000 0.0000 Hg
0.7500 0.2500 0.5000 Hg
0.0940 0.6250 0.9690 S
0.3750 0.3440 0.4690 S
0.6560 0.1250 0.0310 S
0.8750 0.9060 0.5310 S
0.2500 0.7500 0.5000 I
0.5000 0.5000 0.0000 I
```